1.
{"formula": "La2Tb6SmDy", "functional": "PBE", "state": "relaxed", "total_energy_ev_per_atom": -4.578, "delta_e_f_mev_per_atom": 118, "dos_at_fermi_per_ev_atom": 1.49, "lattice_angstrom": [[-6.1842, -0.4915, 7.7662], [-4.9534, -4.9732, -5.2885], [6.7539, -3.8428, 4.1055]], "species": ["Tb", "Tb", "Tb", "Tb", "Tb", "Tb", "Tb", "Tb", "Tb", "Tb", "Tb", "Tb", "La", "La", "La", "La", "Dy", "Dy", "Sm", "Sm"], "fractional_positions": [[0.8113, 0.4212, 0.9784], [0.1194, 0.7018, 0.4923], [0.1887, 0.5788, 0.0216], [0.9430, 0.8797, 0.2644], [0.4430, 0.2644, 0.8797], [0.5570, 0.7356, 0.1203], [0.6887, 0.0216, 0.5788], [0.3806, 0.5077, 0.2982], [0.6194, 0.4923, 0.7018], [0.8806, 0.2982, 0.5077], [0.3113, 0.9784, 0.4212], [0.0570, 0.1203, 0.7356], [0.0416, 0.2895, 0.1921], [0.4584, 0.8079, 0.7105], [0.5416, 0.1921, 0.2895], [0.9584, 0.7105, 0.8079], [0.2500, 0.4047, 0.5953], [0.7500, 0.5953, 0.4047], [0.7500, 0.0127, 0.9873], [0.2500, 0.9873, 0.0127]]}


2.
{"formula": "La2Tb4SmDy", "functional": "PBE", "state": "relaxed", "total_energy_ev_per_atom": -4.685, "delta_e_f_mev_per_atom": 28, "dos_at_fermi_per_ev_atom": 1.52, "lattice_angstrom": [[5.1551, 0.0000, 0.0000], [0.0000, 5.0489, 0.8496], [0.0001, 3.3767, 10.8549]], "species": ["La", "La", "Sm", "Tb", "Tb", "Tb", "Tb", "Dy"], "fractional_positions": [[0.5000, 0.0000, 0.5000], [0.0000, 0.0000, 0.0000], [0.5000, 0.5000, 0.0000], [0.0000, 0.2481, 0.2513], [0.0000, 0.7519, 0.7487], [0.5000, 0.2507, 0.7493], [0.5000, 0.7493, 0.2506], [0.0000, 0.5000, 0.5000]]}


3.
{"formula": "LaTb2Sm2Dy2", "functional": "PBE", "state": "relaxed", "total_energy_ev_per_atom": -4.567, "delta_e_f_mev_per_atom": 123, "dos_at_fermi_per_ev_atom": 1.81, "lattice_angstrom": [[-3.2031, -0.3458, 1.3538], [3.5210, -12.3310, 0.6711], [2.1114, -0.2947, 4.9203]], "species": ["Dy", "Dy", "Tb", "Tb", "Sm", "Sm", "La"], "fractional_positions": [[0.6409, 0.2818, 0.3592], [0.3591, 0.7182, 0.6408], [0.9218, 0.8436, 0.0782], [0.0782, 0.1564, 0.9218], [0.7867, 0.5734, 0.2135], [0.2133, 0.4266, 0.7865], [0.0000, 0.0000, 0.5000]]}


4.
{"formula": "LaSm2Dy3Te6", "functional": "PBE", "state": "relaxed", "total_energy_ev_per_atom": -5.287, "formation_energy_uncorrected_ev_per_atom": -1.37, "dos_at_fermi_per_ev_atom": 0.54, "lattice_angstrom": [[4.3944, 0.0000, 0.0000], [0.0000, 8.9047, 0.2597], [-2.1972, -2.6273, 9.2998]], "species": ["Te", "Te", "Te", "Te", "Te", "Te", "Sm", "Sm", "La", "Dy", "Dy", "Dy"], "fractional_positions": [[0.3351, 0.4120, 0.6702], [0.3284, 0.9191, 0.6568], [0.6649, 0.5880, 0.3298], [0.0006, 0.7390, 0.0012], [0.9994, 0.2610, 0.9988], [0.6716, 0.0809, 0.3432], [0.8329, 0.6657, 0.6657], [0.1671, 0.3343, 0.3343], [0.5000, 0.0000, 0.0000], [0.8353, 0.1677, 0.6707], [0.5000, 0.5000, 0.0000], [0.1647, 0.8323, 0.3293]]}